No. 1
Entry from Alexandria via LeMat-Bulk: a relaxed TaZn2Tc crystal (PBE-GGA).

```
data_TaZn2Tc
_cell_length_a 5.108
_cell_length_b 5.108
_cell_length_c 2.694
_cell_angle_alpha 84.35
_cell_angle_beta 84.35
_cell_angle_gamma 117.33
_symmetry_space_group_name_H-M 'P 1'
_symmetry_Int_Tables_number 1
loop_
_symmetry_equiv_pos_as_xyz
'x,y,z'
loop_
_atom_site_label
_atom_site_fract_x
_atom_site_fract_y
_atom_site_fract_z
Zn1 0.500 0.500 0.000
Zn2 0.000 0.000 0.000
Ta1 0.500 0.000 0.500
Tc1 0.000 0.500 0.500
```

Output
The mass density is 11.097 Mg/m³. The value obtained for the energy above the most stable polymorph in this dataset is 94 meV per atom. The density of states at the Fermi level comes out at 1.9 states/eV per cell. The value obtained for the total moment is 0.00 μB per formula unit. The electronic total energy comes out at -24.5 eV for the cell shown. The value obtained for the energy of formation is 0.059 eV per atom.


No. 2
Entry from Alexandria via LeMat-Bulk: a relaxed TaZnTc4 crystal (PBE-GGA).

```
data_TaZnTc4
_cell_length_a 5.128
_cell_length_b 5.128
_cell_length_c 5.128
_cell_angle_alpha 60.00
_cell_angle_beta 60.00
_cell_angle_gamma 60.00
_symmetry_space_group_name_H-M 'P 1'
_symmetry_Int_Tables_number 1
loop_
_symmetry_equiv_pos_as_xyz
'x,y,z'
loop_
_atom_site_label
_atom_site_fract_x
_atom_site_fract_y
_atom_site_fract_z
Tc1 0.376 0.376 0.873
Zn1 0.750 0.750 0.750
Tc2 0.873 0.376 0.376
Tc3 0.376 0.873 0.376
Ta1 0.000 0.000 0.000
Tc4 0.376 0.376 0.376
```

Output
The mass density is 11.116 Mg/m³. The density of states at the Fermi level comes out at 5.9 states/eV per cell. The value obtained for the total moment is 0.00 μB per formula unit. The electronic total energy comes out at -54.0 eV for the cell shown. The value obtained for the energy of formation is 0.105 eV per atom.


No. 3
Entry from Alexandria via LeMat-Bulk: a relaxed Ta2ZnTc crystal (PBE-GGA).

```
data_Ta2ZnTc
_cell_length_a 7.242
_cell_length_b 7.242
_cell_length_c 5.807
_cell_angle_alpha 51.42
_cell_angle_beta 51.42
_cell_angle_gamma 90.00
_symmetry_space_group_name_H-M 'P 1'
_symmetry_Int_Tables_number 1
loop_
_symmetry_equiv_pos_as_xyz
'x,y,z'
loop_
_atom_site_label
_atom_site_fract_x
_atom_site_fract_y
_atom_site_fract_z
Tc1 0.750 0.250 0.500
Zn1 0.250 0.750 0.500
Tc2 0.000 0.000 0.000
Ta1 0.653 0.125 0.250
Ta2 0.097 0.625 0.250
Zn2 0.500 0.500 0.000
Ta3 0.875 0.903 0.750
Ta4 0.375 0.347 0.750
```

Output
The mass density is 12.151 Mg/m³. The density of states at the Fermi level comes out at 5.7 states/eV per cell. The value obtained for the total moment is 0.00 μB per formula unit. The electronic total energy comes out at -66.5 eV for the cell shown. The value obtained for the energy of formation is 0.523 eV per atom.


No. 4
Entry from Alexandria via LeMat-Bulk: a relaxed TaZn2Tc crystal (PBE-GGA).

```
data_TaZn2Tc
_cell_length_a 5.009
_cell_length_b 5.009
_cell_length_c 5.009
_cell_angle_alpha 135.53
_cell_angle_beta 135.53
_cell_angle_gamma 64.71
_symmetry_space_group_name_H-M 'P 1'
_symmetry_Int_Tables_number 1
loop_
_symmetry_equiv_pos_as_xyz
'x,y,z'
loop_
_atom_site_label
_atom_site_fract_x
_atom_site_fract_y
_atom_site_fract_z
Tc1 0.750 0.250 0.500
Ta1 0.250 0.750 0.500
Zn1 0.000 0.000 0.000
Zn2 0.500 0.500 0.000
```

Output
The mass density is 11.187 Mg/m³. The value obtained for the energy above the most stable polymorph in this dataset is 15 meV per atom. The density of states at the Fermi level comes out at 2.4 states/eV per cell. The value obtained for the total moment is 0.00 μB per formula unit. The electronic total energy comes out at -24.8 eV for the cell shown. The value obtained for the energy of formation is -0.020 eV per atom.